The following is a GGA-PBE calculation of an optimized crystal structure of Mg5TlAg, from Alexandria via LeMat-Bulk.

Properties
ΔE to the lowest computed polymorph: 57 meV/atom
N(E_F): 0.2233 states/eV per atom
DFT formation energy: 0.015 eV/atom

Cell lengths 7.5719, 7.5719, 6.5988 Å; angles 100.11, 100.11, 112.87 degrees
Positions (direct):
Mg 0.0759 0.3736 0.8488
Mg 0.2194 0.4690 0.3533
Mg 0.2198 0.7802 0.7500
Mg 0.3736 0.0759 0.3488
Mg 0.4690 0.2194 0.8533
Mg 0.5310 0.7806 0.1467
Mg 0.6264 0.9241 0.6512
Mg 0.7802 0.2198 0.2500
Mg 0.7806 0.5310 0.6467
Mg 0.9241 0.6264 0.1512
Tl 0.0000 0.0000 0.0000
Tl 0.0000 0.0000 0.5000
Ag 0.4502 0.5498 0.7500
Ag 0.5498 0.4502 0.2500